The following is a DFT calculation (GGA-PBE) of Hf2HOsPt after structural relaxation.

a b c (Å): 4.391 4.391 3.774
angles (deg): 90.00 90.00 90.00
Fractional coordinates of all 5 atoms:
Hf 0.000 0.500 0.000
Hf 0.500 0.000 0.000
H 0.000 0.000 0.000
Os 0.000 0.000 0.500
Pt 0.500 0.500 0.500

Calculated values
The calculation puts the density of states at the Fermi level at 2.67 states/eV/cell. As for the volume: 72.8 Å³ per cell. The calculation puts the calculated total energy at -8.71 eV/atom.